1.
This record from Alexandria describes an optimized crystal structure of Sm5ZnTe4. The functional is PBE.

Lattice parameters (Å, degrees): 4.412 4.412 15.913 97.97 97.97 90.00
Positions (direct):
Zn1 0.000 0.000 0.000
Sm1 0.904 0.904 0.808
Sm2 0.500 0.500 0.000
Te1 0.400 0.400 0.799
Te2 0.198 0.198 0.396
Te3 0.802 0.802 0.604
Sm3 0.300 0.300 0.601
Sm4 0.700 0.700 0.399
Sm5 0.096 0.096 0.192
Te4 0.600 0.600 0.201

Computed properties:
The value obtained for the calculated volume is 30.4 A^3/atom. For the energy above the most stable polymorph in this dataset, the calculation gives 0.035 eV per atom. The uncorrected formation energy is -1.154 eV per atom. For the total magnetic moment, the calculation gives 0.0 μB/f.u. Its space group is No. 139.

2.
This record from Alexandria describes an optimized crystal structure of Be2PBr. The functional is PBE.

Lattice parameters (Å, degrees): 4.735 4.735 6.664 90.00 90.00 138.80
Positions (direct):
Be1 0.000 0.000 0.934
Be2 0.000 0.000 0.566
P1 0.500 0.500 0.750
Br1 0.500 0.500 0.250

Computed properties:
The value obtained for the calculated volume is 24.6 A^3/atom. For the energy above the most stable polymorph in this dataset, the calculation gives 0.630 eV per atom. The uncorrected formation energy is 0.229 eV per atom. For the total magnetic moment, the calculation gives 0.0 μB/f.u. Its space group is No. 65.

3.
This record from Alexandria describes an optimized crystal structure of Pm6Nd3Tm2. The functional is PBE.

Lattice parameters (Å, degrees): 4.829 4.829 17.135 98.10 98.10 90.00
Positions (direct):
Pm1 0.696 0.696 0.392
Pm2 0.881 0.381 0.762
Pm3 0.304 0.304 0.608
Pm4 0.119 0.619 0.238
Tm1 0.545 0.545 0.091
Nd1 0.799 0.799 0.598
Nd2 0.201 0.201 0.402
Pm5 0.381 0.881 0.762
Tm2 0.455 0.455 0.909
Nd3 0.000 0.000 0.000
Pm6 0.619 0.119 0.238

Computed properties:
The value obtained for the calculated volume is 35.6 A^3/atom. For the energy above the most stable polymorph in this dataset, the calculation gives 0.258 eV per atom. For the total magnetic moment, the calculation gives 0.0 μB/f.u. The formation energy is 0.2742 eV per atom. Its space group is No. 139.

4.
This record from Alexandria describes an optimized crystal structure of Pu2AlZn7. The functional is PBE.

Lattice parameters (Å, degrees): 4.128 4.128 11.015 90.00 90.00 90.00
Each line ends with the local moment (μB).
Positions (direct):
Zn1 0.000 0.000 0.500  0.00
Zn2 0.500 0.000 0.362  -0.02
Pu1 0.000 0.500 0.251  -5.36
Zn3 0.000 0.000 0.000  0.00
Zn4 0.000 0.500 0.638  -0.02
Pu2 0.500 0.000 0.749  -5.36
Zn5 0.500 0.000 0.138  -0.01
Zn6 0.500 0.500 0.500  -0.01
Zn7 0.000 0.500 0.862  -0.01
Al1 0.500 0.500 0.000  0.01

Computed properties:
The value obtained for the calculated volume is 18.8 A^3/atom. For the total magnetic moment, the calculation gives 11.6 μB/f.u. The formation energy is -0.1248 eV per atom. Its space group is No. 115.